Record 1
# Co4GeB

An optimized crystal structure of Co4GeB (PBE-GGA, Alexandria via LeMat-Bulk).

The structure in CIF format:
```
data_Co4GeB
_space_group_name_H-M_alt 'P n m a'
_space_group_IT_number 62
_cell_length_a 6.206
_cell_length_b 2.726
_cell_length_c 14.688
_cell_angle_alpha 90.00
_cell_angle_beta 90.00
_cell_angle_gamma 90.00
loop_
_space_group_symop_operation_xyz
'x,y,z'
'-x,-y,-z'
'-x+1/2,-y,z+1/2'
'x+1/2,y,-z+1/2'
'x+1/2,-y+1/2,-z+1/2'
'-x+1/2,y+1/2,z+1/2'
'-x,y+1/2,-z'
'x,-y+1/2,z'
loop_
_atom_site_label
_atom_site_type_symbol
_atom_site_fract_x
_atom_site_fract_y
_atom_site_fract_z
Co1 Co 0.012 0.250 0.066
Co2 Co 0.064 0.750 0.211
Co3 Co 0.124 0.750 0.646
Co4 Co 0.144 0.750 0.462
Ge1 Ge 0.249 0.250 0.319
B1 B 0.246 0.250 0.557
```

## Properties
* theoretical density: 8.5 g/cm3
* density of states at the Fermi level: 26.35 states/eV per cell
* formation energy: -14.5 kJ per mole of atoms

Record 2
# BaCa2Ru

An optimized crystal structure of BaCa2Ru (PBE-GGA, Alexandria via LeMat-Bulk).

The structure in CIF format:
```
data_BaCa2Ru
_space_group_name_H-M_alt 'I m m m'
_space_group_IT_number 71
_space_group_name_Hall '-I 2 2'
_cell_length_a 3.662
_cell_length_b 5.894
_cell_length_c 12.597
_cell_angle_alpha 90.00
_cell_angle_beta 90.00
_cell_angle_gamma 90.00
loop_
_atom_site_label
_atom_site_type_symbol
_atom_site_fract_x
_atom_site_fract_y
_atom_site_fract_z
Ba1 Ba 0.000 0.000 0.000
Ca1 Ca 0.000 0.500 0.176
Ru1 Ru 0.000 0.000 0.500
```

## Properties
* theoretical density: 3.9 g/cm3
* density of states at the Fermi level: 7.64 states/eV per cell
* formation energy: 24.6 kJ per mole of atoms

Record 3
# Hf2Al3Ga

An optimized crystal structure of Hf2Al3Ga (PBE-GGA, Alexandria via LeMat-Bulk).

The structure in CIF format:
```
data_Hf2Al3Ga
_space_group_name_H-M_alt 'R -3 m'
_space_group_IT_number 166
_space_group_name_Hall '-R 3 2"'
_cell_length_a 5.2781
_cell_length_b 5.2781
_cell_length_c 12.8203
_cell_angle_alpha 90.00
_cell_angle_beta 90.00
_cell_angle_gamma 120.00
loop_
_atom_site_label
_atom_site_type_symbol
_atom_site_fract_x
_atom_site_fract_y
_atom_site_fract_z
Hf1 Hf 0.0000 0.0000 0.1233
Al1 Al 0.0000 0.5000 0.0000
Ga1 Ga 0.0000 0.0000 0.5000
```

## Properties
* theoretical density: 8.2 g/cm3
* density of states at the Fermi level: 6.00 states/eV per cell
* formation energy: -42.3 kJ per mole of atoms

| no. | total moment (μB/atom) |
| --- | --- |
| 1 | 0.6066 |
| 2 | 0.0000 |
| 3 | 0.0000 |